[1]
HfZn4Au | Alexandria via LeMat-Bulk | PBE | relaxed; formation enthalpy at 0 K = -1.097 eV/f.u.; V = 16.4 Å³/atom; energy relative to the lowest polymorph listed for this composition = 0.20 eV per formula unit
1.0
-1.624 -1.579 3.651
5.904 -1.322 2.055
2.867 8.875 -2.529
Zn Hf Au
8 2 2
Direct
0.443 0.960 0.297
0.091 0.250 0.061
0.953 0.250 0.634
0.047 0.750 0.366
0.557 0.460 0.703
0.557 0.040 0.703
0.909 0.750 0.939
0.443 0.540 0.297
0.961 0.750 0.640
0.039 0.250 0.360
0.500 0.000 0.000
0.500 0.500 0.000

[2]
Hf2Zn16Au | Alexandria via LeMat-Bulk | PBE | relaxed; formation enthalpy at 0 K = -1.985 eV/f.u.; V = 15.4 Å³/atom
1.0
6.635 0.051 0.805
0.719 6.596 0.805
0.056 0.051 6.683
Zn Hf Au
16 2 1
Direct
0.305 0.696 0.999
0.696 0.305 0.999
0.835 0.357 0.357
0.357 0.835 0.357
0.104 0.104 0.104
0.004 0.495 0.004
0.004 0.004 0.495
0.165 0.643 0.643
0.305 0.999 0.696
0.643 0.643 0.165
0.495 0.004 0.004
0.643 0.165 0.643
0.357 0.357 0.835
0.999 0.696 0.305
0.696 0.999 0.305
0.999 0.305 0.696
0.334 0.334 0.334
0.663 0.663 0.663
0.895 0.895 0.895

[3]
Hf2Zn3Au3 | Alexandria via LeMat-Bulk | PBE | relaxed; formation enthalpy at 0 K = -2.267 eV/f.u.; V = 19.3 Å³/atom
1.0
-0.540 -5.542 0.391
2.410 0.302 7.613
-5.359 0.934 5.853
Zn Au Hf
6 6 4
Direct
0.250 0.000 0.688
0.750 0.312 0.688
0.250 0.688 0.312
0.750 0.000 0.312
0.750 0.688 0.000
0.250 0.312 0.000
0.750 0.344 0.000
0.250 0.344 0.656
0.750 0.000 0.656
0.250 0.000 0.344
0.750 0.656 0.344
0.250 0.656 0.000
0.000 0.333 0.333
0.500 0.667 0.667
0.500 0.333 0.333
0.000 0.667 0.667

[4]
Hf3Zn4Au2 | Alexandria via LeMat-Bulk | PBE | relaxed; formation enthalpy at 0 K = -3.012 eV/f.u.; V = 17.5 Å³/atom; energy relative to the lowest polymorph listed for this composition = 0.00 eV per formula unit
1.0
4.354 0.000 1.162
1.984 4.848 1.306
0.348 -0.607 7.439
Zn Hf Au
4 3 2
Direct
0.941 0.721 0.397
0.059 0.279 0.603
0.280 0.393 0.047
0.720 0.607 0.953
0.666 0.336 0.332
0.334 0.664 0.668
0.000 0.000 0.000
0.611 0.053 0.725
0.389 0.947 0.275

> V of number 1 (HfZn4Au)?

16.4 Å³/atom

> Number 2 is which compound?

Hf2Zn16Au